CuNiNO2 | PBE with a Hubbard U | optimized geometry

```
CuNiNO2
1.0
3.860 0.000 0.000
0.000 3.860 0.000
0.000 0.000 3.603
Cu Ni N O
1 1 1 2
Cartesian
0.000 0.000 0.000
1.930 1.930 1.801
0.000 0.000 1.801
0.000 1.930 0.000
1.930 0.000 0.000
```

Results
As for the total magnetization: 0.0780 μB/atom. The value obtained for the density is 5.2 g cm⁻³. The space group is No. 123. For the calculated total energy, the calculation gives -4.167 eV/atom.